Material: SmZn4Si2
Method: DFT, PBE
State: relaxed

Energy relative to the elements, uncorrected, eV/f.u.: -1.820

Lattice parameters (Å, degrees): 7.668 7.668 4.021 90.00 90.00 149.52
Sites, in units of the cell vectors:
Sm1 0.000 0.000 0.000
Zn1 0.183 0.817 0.500
Zn2 0.312 0.688 0.000
Zn3 0.688 0.312 0.000
Zn4 0.817 0.183 0.500
Si1 0.420 0.580 0.500
Si2 0.580 0.420 0.500